(1)
The following is a PBE calculation of an optimized crystal structure of Cs3ZnAs, from Alexandria.

Results
Magnetic moment in Bohr magnetons per cell: 0.291
Raw total energy in eV/atom: -1.374
Calculated formation energy in meV per atom: 323
Energy above the most stable polymorph in this dataset in meV/atom: 483.8

```
5
Lattice="6.672 0.000 0.000 0.000 6.672 0.000 0.000 0.000 6.672" Properties=species:S:1:pos:R:3 pbc="T T T"
Cs 0.000 3.336 0.000
Cs 0.000 0.000 3.336
Cs 3.336 0.000 0.000
As 3.336 3.336 3.336
Zn 0.000 0.000 0.000
```



(2)
The following is a PBE calculation of an optimized crystal structure of LaFe2Pt, from Alexandria.

Results
Magnetic moment in Bohr magnetons per cell: 5.692
Raw total energy in eV/atom: -6.937
Calculated formation energy in meV per atom: 36

```
4
Lattice="-2.430 -3.897 0.805 0.866 0.321 4.170 -3.345 2.353 1.292" Properties=species:S:1:pos:R:3 pbc="T T T"
Fe -2.281 2.462 5.032
Fe -1.437 1.549 3.163
La -1.835 -1.280 1.768
Pt -3.074 0.057 4.500
```



(3)
The following is a PBE calculation of an optimized crystal structure of MgAs2PAu, from Alexandria.

Results
Magnetic moment in Bohr magnetons per cell: 0.000
Raw total energy in eV/atom: -3.191
Calculated formation energy in meV per atom: 725

```
5
Lattice="-3.182 3.350 -2.366 -3.676 -2.203 1.825 0.193 3.114 4.148" Properties=species:S:1:pos:R:3 pbc="T T T"
P -1.838 -1.101 0.912
As 0.097 1.557 2.074
As -1.591 1.675 -1.183
Au 0.000 0.000 0.000
Mg -3.332 2.130 1.804
```



(4)
The following is a PBE calculation of an optimized crystal structure of TmH5Ru, from Alexandria.

Results
Magnetic moment in Bohr magnetons per cell: 0.000
Raw total energy in eV/atom: -4.710

```
14
Lattice="0.137 -4.363 -1.071 3.713 -1.327 -2.158 4.405 -3.727 4.082" Properties=species:S:1:pos:R:3 pbc="T T T"
Tm 5.228 -5.640 1.447
Tm 3.027 -3.776 -0.594
H 7.456 -6.490 1.323
H 5.248 -4.629 -0.706
H 3.552 -6.072 -0.200
H 3.441 -7.158 1.990
H 2.494 -1.489 -0.996
H 5.761 -7.927 1.848
H 4.814 -2.258 -1.138
H 4.703 -3.345 1.053
H 3.007 -4.787 1.559
H 0.799 -2.926 -0.471
Ru 0.000 0.000 0.000
Ru 2.203 -1.863 2.041
```